# 1
# GGA-PBE K2OsBr, optimized geometry
# DFT total energy = -13.203 eV for the cell shown
# Volume = 27.3 Å³ per atom
# Energy above the lowest structure with this stoichiometry = 0.00 kJ/mol of atoms
# SG = P4/mmm, No. 123
# Density = 5290 kg/m³
# N(E_F) = 3.07 states/eV/cell
# Energy relative to the elements, uncorrected = 0.4738 eV/atom
data_K2OsBr
_chemical_formula_sum 'K2 Os1 Br1'
_cell_length_a 3.3983
_cell_length_b 3.3983
_cell_length_c 9.4689
_cell_angle_alpha 90.00
_cell_angle_beta 90.00
_cell_angle_gamma 90.00
_space_group_name_H-M_alt 'P 1'
_space_group_IT_number 1
loop_
_space_group_symop_operation_xyz
'x,y,z'
loop_
_atom_site_label
_atom_site_type_symbol
_atom_site_fract_x
_atom_site_fract_y
_atom_site_fract_z
K1 K 0.0000 0.0000 0.2279
K2 K 0.0000 0.0000 0.7721
Os1 Os 0.5000 0.5000 0.5000
Br1 Br 0.5000 0.5000 0.0000

=====

# 2
# GGA-PBE K2OsBr, optimized geometry
# DFT total energy = -12.637 eV for the cell shown
# Volume = 28.6 Å³ per atom
# Energy above the lowest structure with this stoichiometry = 13.65 kJ/mol of atoms
# SG = Imm2, No. 44
# Density = 5047 kg/m³
# N(E_F) = 2.10 states/eV/cell
# Energy relative to the elements, uncorrected = 0.6153 eV/atom
data_K2OsBr
_chemical_formula_sum 'K2 Os1 Br1'
_cell_length_a 6.8915
_cell_length_b 6.8915
_cell_length_c 6.8915
_cell_angle_alpha 152.36
_cell_angle_beta 130.58
_cell_angle_gamma 57.57
_space_group_name_H-M_alt 'P 1'
_space_group_IT_number 1
loop_
_space_group_symop_operation_xyz
'x,y,z'
loop_
_atom_site_label
_atom_site_type_symbol
_atom_site_fract_x
_atom_site_fract_y
_atom_site_fract_z
K1 K 0.0000 0.0000 0.0000
K2 K 0.6953 0.1953 0.5000
Os1 Os 0.2684 0.7684 0.5000
Br1 Br 0.4254 0.4254 0.0000